PBE-GGA MgZrCl, optimized geometry; E_tot = -12.610 eV for the cell shown; SG = P-6m2; formation energy from raw total energies = -0.6 eV per formula unit; calculated volume = 21.21 A^3/atom
1.0
4.647 0.000 0.000
-2.324 4.024 0.000
0.000 0.000 3.402
Mg Zr Cl
1 1 1
Direct
0.000 0.000 0.000 Mg
0.667 0.333 0.500 Zr
0.333 0.667 0.500 Cl

---

PBE-GGA MgZrCl, optimized geometry; E_tot = -26.250 eV for the cell shown; SG = Amm2; formation energy from raw total energies = -1.1 eV per formula unit; calculated volume = 26.15 A^3/atom
1.0
17.269 0.000 0.000
0.000 1.619 2.807
0.000 -1.619 2.807
Mg Zr Cl
2 2 2
Direct
0.000 0.000 0.000 Mg
0.500 0.199 0.199 Mg
0.154 0.333 0.333 Zr
0.846 0.333 0.333 Zr
0.408 0.866 0.866 Cl
0.592 0.866 0.866 Cl

---

PBE-GGA MgZrCl2, optimized geometry; E_tot = -15.505 eV for the cell shown; SG = I4/mmm; formation energy from raw total energies = -1.7 eV per formula unit; calculated volume = 19.63 A^3/atom
1.0
-2.201 2.201 4.054
2.201 -2.201 4.054
2.201 2.201 -4.054
Mg Zr Cl
1 1 2
Direct
0.000 0.000 0.000 Mg
0.500 0.500 0.000 Zr
0.250 0.750 0.500 Cl
0.750 0.250 0.500 Cl

---

PBE-GGA Mg2ZrCl, optimized geometry; E_tot = -14.281 eV for the cell shown; SG = P2/m; formation energy from raw total energies = -0.7 eV per formula unit; calculated volume = 22.82 A^3/atom
1.0
3.091 0.000 0.000
0.000 5.761 0.000
-0.328 0.000 5.125
Mg Zr Cl
2 1 1
Direct
0.224 0.000 0.244 Mg
0.776 0.000 0.756 Mg
0.500 0.500 0.000 Zr
0.500 0.500 0.500 Cl

---

PBE-GGA MgZrCl2, optimized geometry; E_tot = -18.004 eV for the cell shown; SG = R-3m; formation energy from raw total energies = -4.2 eV per formula unit; calculated volume = 23.14 A^3/atom
1.0
1.644 0.949 9.885
-1.644 0.949 9.885
0.000 -1.899 9.885
Mg Zr Cl
1 1 2
Direct
0.000 0.000 0.000 Mg
0.500 0.500 0.500 Zr
0.104 0.104 0.104 Cl
0.896 0.896 0.896 Cl

---

PBE-GGA MgZrCl, optimized geometry; E_tot = -13.538 eV for the cell shown; SG = Fmm2; formation energy from raw total energies = -1.5 eV per formula unit; calculated volume = 22.69 A^3/atom
1.0
0.000 2.558 7.109
1.872 0.000 7.109
1.872 2.558 0.000
Mg Zr Cl
1 1 1
Direct
0.000 0.000 0.000 Mg
0.337 0.337 0.663 Zr
0.702 0.702 0.298 Cl

---

PBE-GGA MgZrCl, optimized geometry; E_tot = -11.596 eV for the cell shown; SG = F-43m; formation energy from raw total energies = 0.4 eV per formula unit; calculated volume = 21.37 A^3/atom
1.0
0.000 3.176 3.176
3.176 0.000 3.176
3.176 3.176 0.000
Mg Zr Cl
1 1 1
Direct
0.000 0.000 0.000 Mg
0.500 0.500 0.500 Zr
0.750 0.750 0.750 Cl

---

PBE-GGA MgZrCl2, optimized geometry; E_tot = -17.216 eV for the cell shown; SG = Cm; formation energy from raw total energies = -3.4 eV per formula unit; calculated volume = 25.76 A^3/atom
1.0
5.941 -1.604 0.000
5.941 1.604 0.000
-2.999 0.000 5.405
Mg Zr Cl
1 1 2
Direct
0.000 0.000 0.000 Mg
0.719 0.719 0.476 Zr
0.142 0.142 0.705 Cl
0.339 0.339 0.335 Cl

---

PBE-GGA MgZrCl2, optimized geometry; E_tot = -16.422 eV for the cell shown; SG = Pmmm; formation energy from raw total energies = -2.6 eV per formula unit; calculated volume = 20.99 A^3/atom
1.0
3.174 0.000 0.000
0.000 4.390 0.000
0.000 0.000 6.023
Mg Zr Cl
1 1 2
Direct
0.000 0.000 0.000 Mg
0.500 0.000 0.500 Zr
0.000 0.500 0.500 Cl
0.500 0.500 0.000 Cl

---

PBE-GGA MgZrCl2, optimized geometry; E_tot = -16.532 eV for the cell shown; SG = C2/m; formation energy from raw total energies = -2.7 eV per formula unit; calculated volume = 20.87 A^3/atom
1.0
3.168 -4.411 0.000
3.168 4.411 0.000
-1.429 0.000 2.987
Mg Zr Cl
1 1 2
Direct
0.000 0.000 0.000 Mg
0.500 0.500 0.000 Zr
0.000 0.500 0.000 Cl
0.500 0.000 0.000 Cl

---

PBE-GGA MgZr4Cl, optimized geometry; E_tot = -35.037 eV for the cell shown; SG = F-43m; formation energy from raw total energies = 2.6 eV per formula unit; calculated volume = 24.39 A^3/atom
1.0
0.000 4.183 4.183
4.183 0.000 4.183
4.183 4.183 0.000
Mg Zr Cl
1 4 1
Direct
0.000 0.000 0.000 Mg
0.115 0.628 0.628 Zr
0.628 0.115 0.628 Zr
0.628 0.628 0.115 Zr
0.628 0.628 0.628 Zr
0.250 0.250 0.250 Cl

---

PBE-GGA MgZrCl2, optimized geometry; E_tot = -15.691 eV for the cell shown; SG = I-4m2; formation energy from raw total energies = -1.9 eV per formula unit; calculated volume = 20.96 A^3/atom
1.0
-1.873 1.873 5.972
1.873 -1.873 5.972
1.873 1.873 -5.972
Mg Zr Cl
1 1 2
Direct
0.000 0.000 0.000 Mg
0.250 0.750 0.500 Zr
0.500 0.500 0.000 Cl
0.750 0.250 0.500 Cl

---

PBE-GGA MgZrCl6, optimized geometry; E_tot = -35.357 eV for the cell shown; SG = C2/m; formation energy from raw total energies = -14.1 eV per formula unit; calculated volume = 33.42 A^3/atom
1.0
3.496 -5.983 0.000
3.496 5.983 0.000
-0.260 0.000 6.390
Mg Zr Cl
1 1 6
Direct
0.000 0.000 0.000 Mg
0.000 0.000 0.500 Zr
0.001 0.720 0.249 Cl
0.278 0.278 0.267 Cl
0.280 0.999 0.751 Cl
0.720 0.001 0.249 Cl
0.722 0.722 0.733 Cl
0.999 0.280 0.751 Cl

---

PBE-GGA MgZrCl6, optimized geometry; E_tot = -35.225 eV for the cell shown; SG = R-3; formation energy from raw total energies = -14.0 eV per formula unit; calculated volume = 25.71 A^3/atom
1.0
3.214 1.856 5.746
-3.214 1.856 5.746
0.000 -3.712 5.746
Mg Zr Cl
1 1 6
Direct
0.000 0.000 0.000 Mg
0.500 0.500 0.500 Zr
0.111 0.394 0.746 Cl
0.254 0.889 0.606 Cl
0.394 0.746 0.111 Cl
0.606 0.254 0.889 Cl
0.746 0.111 0.394 Cl
0.889 0.606 0.254 Cl

---

PBE-GGA MnCl, optimized geometry; E_tot = -20.004 eV for the cell shown; SG = Fd-3m; formation energy from raw total energies = 1.0 eV per formula unit; calculated volume = 19.00 A^3/atom
1.0
0.000 3.362 3.362
3.362 0.000 3.362
3.362 3.362 0.000
Mn Cl
2 2
Direct
0.125 0.125 0.125 Mn
0.875 0.875 0.875 Mn
0.375 0.375 0.375 Cl
0.625 0.625 0.625 Cl

---

PBE-GGA MnCl3, optimized geometry; E_tot = -17.924 eV for the cell shown; SG = Pm-3m; formation energy from raw total energies = -3.2 eV per formula unit; calculated volume = 26.71 A^3/atom
1.0
4.745 0.000 0.000
0.000 4.745 0.000
0.000 0.000 4.745
Mn Cl
1 3
Direct
0.000 0.000 0.000 Mn
0.000 0.000 0.500 Cl
0.000 0.500 0.000 Cl
0.500 0.000 0.000 Cl

---

PBE-GGA MnCl3, optimized geometry; E_tot = -66.306 eV for the cell shown; SG = P6_3/mmc; formation energy from raw total energies = -1.9 eV per formula unit; calculated volume = 22.92 A^3/atom
1.0
8.393 0.000 0.000
-4.197 7.269 0.000
0.000 0.000 6.010
Mn Cl
4 12
Direct
0.000 0.000 0.000 Mn
0.000 0.000 0.500 Mn
0.333 0.667 0.250 Mn
0.667 0.333 0.750 Mn
0.000 0.500 0.000 Cl
0.000 0.500 0.500 Cl
0.121 0.242 0.750 Cl
0.121 0.879 0.750 Cl
0.242 0.121 0.250 Cl
0.500 0.000 0.000 Cl
0.500 0.000 0.500 Cl
0.500 0.500 0.000 Cl
0.500 0.500 0.500 Cl
0.758 0.879 0.750 Cl
0.879 0.121 0.250 Cl
0.879 0.758 0.250 Cl

---

PBE-GGA MnCl, optimized geometry; E_tot = -21.877 eV for the cell shown; SG = I4_1/amd; formation energy from raw total energies = 0.1 eV per formula unit; calculated volume = 19.23 A^3/atom
1.0
-1.779 1.779 6.078
1.779 -1.779 6.078
1.779 1.779 -6.078
Mn Cl
2 2
Direct
0.375 0.625 0.750 Mn
0.625 0.375 0.250 Mn
0.125 0.875 0.250 Cl
0.875 0.125 0.750 Cl

---

PBE-GGA Mn3Cl, optimized geometry; E_tot = -28.808 eV for the cell shown; SG = Pmmm; formation energy from raw total energies = 0.5 eV per formula unit; calculated volume = 15.30 A^3/atom
1.0
2.881 0.000 0.000
0.000 2.922 0.000
0.000 0.000 7.267
Mn Cl
3 1
Direct
0.000 0.000 0.000 Mn
0.500 0.500 0.215 Mn
0.500 0.500 0.785 Mn
0.000 0.500 0.500 Cl

---

PBE-GGA MnCl, optimized geometry; E_tot = -22.635 eV for the cell shown; SG = P6_3mc; formation energy from raw total energies = -0.3 eV per formula unit; calculated volume = 19.29 A^3/atom
1.0
3.333 0.000 0.000
-1.667 2.887 0.000
0.000 0.000 8.020
Mn Cl
2 2
Direct
0.333 0.667 0.000 Mn
0.667 0.333 0.500 Mn
0.333 0.667 0.705 Cl
0.667 0.333 0.205 Cl

---

PBE-GGA Mn3Cl, optimized geometry; E_tot = -26.504 eV for the cell shown; SG = Pm-3m; formation energy from raw total energies = 2.9 eV per formula unit; calculated volume = 16.48 A^3/atom
1.0
4.039 0.000 0.000
0.000 4.039 0.000
0.000 0.000 4.039
Mn Cl
3 1
Direct
0.000 0.000 0.500 Mn
0.000 0.500 0.000 Mn
0.500 0.000 0.000 Mn
0.500 0.500 0.500 Cl

---

PBE-GGA Mn2Cl, optimized geometry; E_tot = -19.473 eV for the cell shown; SG = I4/mmm; formation energy from raw total energies = 0.7 eV per formula unit; calculated volume = 17.08 A^3/atom
1.0
-1.512 1.512 5.602
1.512 -1.512 5.602
1.512 1.512 -5.602
Mn Cl
2 1
Direct
0.170 0.170 0.000 Mn
0.830 0.830 0.000 Mn
0.500 0.500 0.000 Cl

---

PBE-GGA MnCl, optimized geometry; E_tot = -70.105 eV for the cell shown; SG = Pmn2_1; formation energy from raw total energies = -0.7 eV per formula unit; calculated volume = 20.15 A^3/atom
1.0
10.424 0.000 0.000
0.000 3.290 0.000
0.000 0.000 7.050
Mn Cl
6 6
Direct
0.000 0.249 0.000 Mn
0.133 0.749 0.755 Mn
0.367 0.251 0.255 Mn
0.500 0.751 0.500 Mn
0.633 0.251 0.255 Mn
0.867 0.749 0.755 Mn
0.000 0.751 0.490 Cl
0.190 0.750 0.088 Cl
0.310 0.250 0.588 Cl
0.500 0.249 0.990 Cl
0.690 0.250 0.588 Cl
0.810 0.750 0.088 Cl

---

PBE-GGA MnCl, optimized geometry; E_tot = -34.995 eV for the cell shown; SG = Cm; formation energy from raw total energies = -0.6 eV per formula unit; calculated volume = 26.58 A^3/atom
1.0
6.151 -1.635 0.000
6.151 1.635 0.000
-2.718 0.000 7.928
Mn Cl
3 3
Direct
0.000 0.000 0.000 Mn
0.014 0.014 0.675 Mn
0.351 0.351 0.756 Mn
0.386 0.386 0.481 Cl
0.587 0.587 0.204 Cl
0.688 0.688 0.721 Cl

---

PBE-GGA Mn2Cl, optimized geometry; E_tot = -37.168 eV for the cell shown; SG = Fd-3m; formation energy from raw total energies = 1.6 eV per formula unit; calculated volume = 19.86 A^3/atom
1.0
0.000 3.906 3.906
3.906 0.000 3.906
3.906 3.906 0.000
Mn Cl
4 2
Direct
0.000 0.000 0.000 Mn
0.000 0.000 0.500 Mn
0.000 0.500 0.000 Mn
0.500 0.000 0.000 Mn
0.375 0.375 0.375 Cl
0.625 0.625 0.625 Cl

---

PBE-GGA MnCl3, optimized geometry; E_tot = -14.847 eV for the cell shown; SG = R-3m; formation energy from raw total energies = -0.1 eV per formula unit; calculated volume = 22.69 A^3/atom
1.0
4.023 2.323 1.619
-4.023 2.323 1.619
0.000 -4.645 1.619
Mn Cl
1 3
Direct
0.000 0.000 0.000 Mn
0.000 0.500 0.500 Cl
0.500 0.000 0.500 Cl
0.500 0.500 0.000 Cl

---

PBE-GGA MnCl, optimized geometry; E_tot = -65.172 eV for the cell shown; SG = Pm-3n; formation energy from raw total energies = 0.2 eV per formula unit; calculated volume = 26.87 A^3/atom
1.0
6.857 0.000 0.000
0.000 6.857 0.000
0.000 0.000 6.857
Mn Cl
6 6
Direct
0.000 0.250 0.500 Mn
0.000 0.750 0.500 Mn
0.250 0.500 0.000 Mn
0.500 0.000 0.250 Mn
0.500 0.000 0.750 Mn
0.750 0.500 0.000 Mn
0.000 0.500 0.250 Cl
0.000 0.500 0.750 Cl
0.250 0.000 0.500 Cl
0.500 0.250 0.000 Cl
0.500 0.750 0.000 Cl
0.750 0.000 0.500 Cl

---

PBE-GGA Mn3Cl, optimized geometry; E_tot = -27.211 eV for the cell shown; SG = Immm; formation energy from raw total energies = 2.1 eV per formula unit; calculated volume = 16.25 A^3/atom
1.0
-1.468 2.442 4.535
1.468 -2.442 4.535
1.468 2.442 -4.535
Mn Cl
3 1
Direct
0.000 0.000 0.000 Mn
0.265 0.765 0.500 Mn
0.735 0.235 0.500 Mn
0.500 0.500 0.000 Cl